# SrTcAg2

Crystalline SrTcAg2 at its relaxed geometry (PBE, Alexandria via LeMat-Bulk).

POSCAR file:
```
SrTcAg2
1.0
2.9122 0.0000 0.0000
0.0000 4.3844 0.0000
0.0000 0.0000 6.5857
Sr Tc Ag
1 1 2
Cartesian
0.0000 0.0000 3.3285 Sr
1.4561 2.1922 5.2375 Tc
0.0000 0.0000 6.4938 Ag
1.4561 2.1922 1.4045 Ag
```

D(E_F), states/eV/cell: 3.740
Energy above the lowest structure with this stoichiometry, meV per atom: 71.3
E_form, eV per atom: 0.5975


# SrTcAg2

Crystalline SrTcAg2 at its relaxed geometry (PBE, Alexandria via LeMat-Bulk).

POSCAR file:
```
SrTcAg2
1.0
-2.6011 0.6602 2.2820
-0.4654 -3.4600 0.4704
4.7313 0.0930 5.3660
Tc Ag Sr
1 2 1
Cartesian
2.0152 -1.3301 5.4007 Tc
2.6075 0.0513 2.9573 Ag
4.4894 0.0883 5.0917 Ag
-0.3505 -1.3766 2.7177 Sr
```

D(E_F), states/eV/cell: 3.357
Energy above the lowest structure with this stoichiometry, meV per atom: 0.0
E_form, eV per atom: 0.5262


# SrTcAg2

Crystalline SrTcAg2 at its relaxed geometry (PBE, Alexandria via LeMat-Bulk).

POSCAR file:
```
SrTcAg2
1.0
5.5267 0.0098 0.0000
2.0732 5.1231 0.0000
-3.7999 -2.5665 3.0852
Sr Tc Ag
1 1 2
Cartesian
3.7999 2.5665 0.0000 Sr
2.7634 0.0049 1.5426 Tc
0.0000 0.0000 0.0000 Ag
1.0366 2.5616 1.5426 Ag
```

D(E_F), states/eV/cell: 4.019
Energy above the lowest structure with this stoichiometry, meV per atom: 81.1
E_form, eV per atom: 0.6072


# SrTcAg2

Crystalline SrTcAg2 at its relaxed geometry (PBE, Alexandria via LeMat-Bulk).

POSCAR file:
```
SrTcAg2
1.0
4.8157 0.0000 0.0000
0.0000 2.8908 0.0746
0.0000 1.2045 5.9480
Ag Tc Sr
2 1 1
Cartesian
0.0000 1.6803 5.7876 Ag
2.4079 0.5174 1.3937 Ag
2.4079 3.2281 4.8984 Tc
0.0000 1.9216 2.9021 Sr
```

D(E_F), states/eV/cell: 3.424
Energy above the lowest structure with this stoichiometry, meV per atom: 30.5
E_form, eV per atom: 0.5566


# SrTcAg2

Crystalline SrTcAg2 at its relaxed geometry (PBE, Alexandria via LeMat-Bulk).

POSCAR file:
```
SrTcAg2
1.0
4.8239 0.0000 0.0000
0.0000 4.8239 0.0000
0.0000 0.0000 3.7035
Ag Tc Sr
2 1 1
Cartesian
0.0000 0.0000 0.0000 Ag
2.4119 2.4119 0.0000 Ag
0.0000 2.4119 1.8518 Tc
2.4119 0.0000 1.8518 Sr
```

D(E_F), states/eV/cell: 3.759
Energy above the lowest structure with this stoichiometry, meV per atom: 53.1
E_form, eV per atom: 0.5792


# SrTcAg2

Crystalline SrTcAg2 at its relaxed geometry (PBE, Alexandria via LeMat-Bulk).

POSCAR file:
```
SrTcAg2
1.0
-3.8382 -2.2619 2.2140
-1.5893 -4.4085 -1.6698
0.7564 -4.1049 2.7068
Tc Ag Sr
1 2 1
Cartesian
-3.5033 -8.0815 2.4382 Tc
0.0000 0.0000 0.0000 Ag
-1.1678 -2.6938 0.8127 Ag
-2.3355 -5.3877 1.6255 Sr
```

D(E_F), states/eV/cell: 2.582
Energy above the lowest structure with this stoichiometry, meV per atom: 137.9
E_form, eV per atom: 0.6640


# Sr2AgTe

Crystalline Sr2AgTe at its relaxed geometry (PBE, Alexandria via LeMat-Bulk).

POSCAR file:
```
Sr2AgTe
1.0
8.5397 0.0000 0.0000
0.0000 8.5397 0.0000
4.2698 4.2698 4.2971
Te Sr Ag
2 4 2
Cartesian
8.5397 4.2698 2.1485 Te
0.0000 0.0000 0.0000 Te
2.1775 6.4048 1.0743 Sr
6.3622 2.1349 1.0743 Sr
6.4048 6.4474 3.2228 Sr
10.6746 10.6320 3.2228 Sr
4.2698 4.2698 0.0000 Ag
4.2698 8.5397 2.1485 Ag
```

D(E_F), states/eV/cell: 2.548
E_tot, eV per atom: -3.008


# SrAg4Te

Crystalline SrAg4Te at its relaxed geometry (PBE, Alexandria via LeMat-Bulk).

POSCAR file:
```
SrAg4Te
1.0
2.7536 -3.5790 3.6412
1.2995 1.7636 5.3713
-2.8170 -2.2400 4.5494
Te Ag Sr
1 4 1
Cartesian
0.0000 0.0000 0.0000 Te
1.8418 -3.3118 6.9065 Ag
-0.9469 -2.6415 7.3611 Ag
0.4634 -1.5202 5.0837 Ag
1.1139 -0.6373 7.7726 Ag
0.9271 -3.0415 10.1715 Sr
```

D(E_F), states/eV/cell: 1.117
E_tot, eV per atom: -3.006


# Sr2AgTe

Crystalline Sr2AgTe at its relaxed geometry (PBE, Alexandria via LeMat-Bulk).

POSCAR file:
```
Sr2AgTe
1.0
-3.2487 2.3319 0.8063
-1.6949 -1.1404 -3.5311
-3.4121 -5.9887 3.5718
Sr Te Ag
2 1 1
Cartesian
-0.8467 -1.4860 0.8863 Sr
-2.5654 -4.5027 2.6855 Sr
-4.1779 -2.3986 0.4235 Te
-2.4718 0.5958 -1.3624 Ag
```

D(E_F), states/eV/cell: 1.529
E_tot, eV per atom: -3.223


# SrAgTe3

Crystalline SrAgTe3 at its relaxed geometry (PBE, Alexandria via LeMat-Bulk).

POSCAR file:
```
SrAgTe3
1.0
6.1322 0.0000 0.0000
0.0000 6.1322 0.0000
0.0000 0.0000 6.1322
Sr Te Ag
1 3 1
Cartesian
0.0000 0.0000 0.0000 Sr
3.0661 0.0000 0.0000 Te
0.0000 0.0000 3.0661 Te
0.0000 3.0661 0.0000 Te
3.0661 3.0661 3.0661 Ag
```

D(E_F), states/eV/cell: 7.061
Energy above the lowest structure with this stoichiometry, meV per atom: 709.6


# Sr2AgTe

Crystalline Sr2AgTe at its relaxed geometry (PBE, Alexandria via LeMat-Bulk).

POSCAR file:
```
Sr2AgTe
1.0
4.6573 0.0000 0.0000
2.3287 4.0334 0.0000
2.3287 1.3445 7.8963
Sr Te Ag
2 1 1
Cartesian
2.3287 1.3445 1.8922 Sr
2.3287 1.3445 5.9993 Sr
4.6573 2.6889 3.9297 Te
4.6573 2.6889 0.0233 Ag
```

D(E_F), states/eV/cell: 1.702
E_tot, eV per atom: -3.201


# Sr2AgTe

Crystalline Sr2AgTe at its relaxed geometry (PBE, Alexandria via LeMat-Bulk).

POSCAR file:
```
Sr2AgTe
1.0
5.6938 0.0000 0.0000
2.8469 4.9310 0.0000
2.8469 1.6437 4.6490
Te Sr Ag
1 2 1
Cartesian
8.5408 4.9310 3.4868 Te
2.8469 1.6437 1.1623 Sr
0.0000 0.0000 0.0000 Sr
5.6938 3.2873 2.3245 Ag
```

D(E_F), states/eV/cell: 2.197
E_tot, eV per atom: -2.632


# Sr2AgTe

Crystalline Sr2AgTe at its relaxed geometry (PBE, Alexandria via LeMat-Bulk).

POSCAR file:
```
Sr2AgTe
1.0
-3.0375 -3.1380 -1.7521
1.5389 -4.1721 -1.5390
-1.4945 -5.3852 5.9608
Sr Te Ag
2 1 1
Cartesian
-1.5027 -6.3667 1.3735 Sr
-1.4884 -5.3662 5.9222 Sr
-0.7483 -3.1738 0.6674 Te
-2.2449 -9.5215 2.0023 Ag
```

D(E_F), states/eV/cell: 2.061
E_tot, eV per atom: -3.223


# Sr2AgTe

Crystalline Sr2AgTe at its relaxed geometry (PBE, Alexandria via LeMat-Bulk).

POSCAR file:
```
Sr2AgTe
1.0
9.0091 -0.0229 -0.0138
7.8330 4.4507 -0.0138
7.8330 2.0593 3.9457
Sr Ag Te
2 1 1
Cartesian
0.7854 0.2065 0.1247 Sr
5.4972 1.4452 0.8729 Sr
18.9121 4.9720 3.0029 Ag
11.8180 3.1070 1.8765 Te
```

D(E_F), states/eV/cell: 3.299
E_tot, eV per atom: -2.861


# Sr12Ag3Te5

Crystalline Sr12Ag3Te5 at its relaxed geometry (PBE, Alexandria via LeMat-Bulk).

POSCAR file:
```
Sr12Ag3Te5
1.0
16.9487 0.0000 0.0000
-5.6496 15.9794 0.0000
-5.6496 -7.9897 13.8385
Sr Ag Te
48 12 20
Cartesian
3.3110 10.0765 1.1106 Sr
-1.7138 -4.3472 10.0335 Sr
2.3385 2.0052 12.5866 Sr
3.9358 6.8680 5.6673 Sr
0.7026 9.7525 9.2818 Sr
2.3385 -2.0868 12.7280 Sr
-4.9470 7.1568 7.6710 Sr
-6.1358 0.0816 11.4760 Sr
-5.7274 11.7773 5.0570 Sr
-5.5717 6.2733 13.0868 Sr
7.3634 12.3369 3.8051 Sr
-6.7606 4.3472 10.0335 Sr
3.3110 5.9845 1.2519 Sr
-3.5273 8.9197 10.7243 Sr
-4.5386 13.4586 1.8623 Sr
5.5717 2.4857 8.0298 Sr
10.5966 0.8329 6.1676 Sr
-1.1110 9.1114 5.6673 Sr
-2.9026 3.7877 8.7816 Sr
8.5522 4.2020 5.0570 Sr
-0.4863 9.9949 1.2519 Sr
2.1222 6.2268 9.2818 Sr
-2.3385 -0.0816 11.4760 Sr
-0.7026 0.9300 3.1142 Sr
11.7854 7.9081 2.3625 Sr
-1.7138 5.4689 11.9763 Sr
11.2213 1.7164 0.7517 Sr
0.0778 5.5040 5.8087 Sr
7.3634 2.5208 1.8623 Sr
-2.9026 -6.2733 13.0868 Sr
-0.4863 5.9029 1.1106 Sr
6.1358 2.0868 12.7280 Sr
4.9470 -1.7629 4.5568 Sr
11.3769 -3.7877 8.7816 Sr
6.7606 -1.1217 8.1712 Sr
8.5522 14.2630 0.7517 Sr
-2.1222 -0.8329 6.1676 Sr
1.7138 1.1217 8.1712 Sr
2.7470 10.4753 5.8087 Sr
9.1769 -0.9300 3.1142 Sr
2.9026 -2.4857 8.0298 Sr
12.4101 3.6425 3.8051 Sr
6.1358 -2.0052 12.5866 Sr
3.5273 1.7629 4.5568 Sr
7.7718 8.8226 7.6710 Sr
7.9881 8.0713 2.3625 Sr
6.3521 7.0597 10.7243 Sr
10.1881 -5.4689 11.9763 Sr
-7.0620 7.9897 10.3789 Ag
1.4124 7.9897 3.4596 Ag
9.8867 10.9858 1.7298 Ag
1.4124 -0.9987 5.1895 Ag
4.2372 0.0000 10.3789 Ag
-4.2372 -2.9961 12.1087 Ag
-4.2372 2.9961 12.1087 Ag
7.0620 0.9987 5.1895 Ag
-1.4124 6.9910 8.6491 Ag
4.2372 8.9884 8.6491 Ag
9.8867 4.9936 1.7298 Ag
12.7115 0.0000 3.4596 Ag
-1.4124 3.9948 3.4596 Te
5.6496 7.9897 0.0000 Te
7.0620 3.9948 10.3789 Te
8.4743 0.0000 0.0000 Te
4.2372 11.9845 3.4596 Te
-4.2372 8.9884 5.1895 Te
-2.8248 -3.9948 6.9193 Te
-5.6496 3.9948 6.9193 Te
9.8867 -0.9987 8.6491 Te
1.4124 4.9936 12.1087 Te
-2.8248 7.9897 0.0000 Te
1.4124 -3.9948 10.3789 Te
-1.4124 0.9987 8.6491 Te
7.0620 -4.9936 12.1087 Te
-1.4124 12.9832 1.7298 Te
7.0620 6.9910 5.1895 Te
2.8248 3.9948 6.9193 Te
4.2372 2.9961 1.7298 Te
5.6496 -3.9948 6.9193 Te
0.0000 0.0000 0.0000 Te
```

D(E_F), states/eV/cell: 62.876
E_tot, eV per atom: -2.887


# Sr2AgTe

Crystalline Sr2AgTe at its relaxed geometry (PBE, Alexandria via LeMat-Bulk).

POSCAR file:
```
Sr2AgTe
1.0
-4.2780 0.5835 7.2489
1.6148 -0.8761 8.2349
2.1189 3.1129 -7.5504
Ag Te Sr
1 1 2
Cartesian
1.3180 1.0580 3.5336 Ag
-1.2203 -0.1341 7.0950 Te
-1.8558 1.7629 4.3623 Sr
-0.1177 -0.0129 0.6845 Sr
```

D(E_F), states/eV/cell: 1.845
E_tot, eV per atom: -3.149


# Sr2AgTe

Crystalline Sr2AgTe at its relaxed geometry (PBE, Alexandria via LeMat-Bulk).

POSCAR file:
```
Sr2AgTe
1.0
-0.2894 6.6233 -0.1633
-1.8511 4.9821 -3.9661
-4.5398 -0.1521 1.9300
Ag Sr Te
1 2 1
Cartesian
-5.5219 8.2860 -1.3082 Ag
-6.0847 11.3065 -2.3806 Sr
-2.2498 2.9216 -0.3369 Sr
-2.8444 6.1190 -1.4726 Te
```

D(E_F), states/eV/cell: 1.679
E_tot, eV per atom: -3.201


# SrAgTe3

Crystalline SrAgTe3 at its relaxed geometry (PBE, Alexandria via LeMat-Bulk).

POSCAR file:
```
SrAgTe3
1.0
5.5096 0.0000 0.0000
0.0000 5.5096 0.0000
0.0000 0.0000 5.5096
Sr Ag Te
1 1 3
Cartesian
2.7548 2.7548 2.7548 Sr
0.0000 0.0000 0.0000 Ag
2.7548 0.0000 0.0000 Te
0.0000 2.7548 0.0000 Te
0.0000 0.0000 2.7548 Te
```

D(E_F), states/eV/cell: 4.189
Energy above the lowest structure with this stoichiometry, meV per atom: 0.0


# SrAg8Te6

Crystalline SrAg8Te6 at its relaxed geometry (PBE, Alexandria via LeMat-Bulk).

POSCAR file:
```
SrAg8Te6
1.0
6.9754 0.0000 3.4796
2.6198 6.4647 3.4796
-0.2141 -0.1443 9.1606
Ag Sr Te
8 1 6
Cartesian
2.4150 4.0051 6.4076 Ag
6.4834 5.3348 8.8840 Ag
2.8976 0.9857 7.2358 Ag
6.9661 2.3153 9.7122 Ag
4.0158 2.7056 9.4126 Ag
5.3653 3.6148 6.7072 Ag
3.3275 5.5865 8.9965 Ag
6.0536 0.7339 7.1233 Ag
0.0000 0.0000 0.0000 Sr
4.9015 4.6728 11.1825 Te
1.3051 2.7877 8.7549 Te
4.2733 6.1579 6.3503 Te
4.4795 1.6477 4.9373 Te
5.1078 0.1625 9.7696 Te
8.0760 3.5328 7.3649 Te
```

D(E_F), states/eV/cell: 8.903
E_tot, eV per atom: -3.122


# SrAgTe4

Crystalline SrAgTe4 at its relaxed geometry (PBE, Alexandria via LeMat-Bulk).

POSCAR file:
```
SrAgTe4
1.0
4.1557 -4.5038 -2.0145
0.0798 -5.8044 2.8134
-2.1490 -5.1684 -3.2066
Te Sr Ag
4 1 1
Cartesian
0.7843 -5.8174 -0.9050 Te
-0.2827 -8.3833 -2.4970 Te
0.8239 -8.6991 0.4918 Te
2.8475 -8.0534 -1.9052 Te
0.0000 0.0000 0.0000 Sr
1.5649 -11.6075 -1.8058 Ag
```

D(E_F), states/eV/cell: 2.799
E_tot, eV per atom: -2.946


# SrAg5Te4

Crystalline SrAg5Te4 at its relaxed geometry (PBE, Alexandria via LeMat-Bulk).

POSCAR file:
```
SrAg5Te4
1.0
4.5525 0.0045 0.0006
-2.2688 7.8583 -3.4958
0.0004 -0.7614 8.3793
Ag Te Sr
5 4 1
Cartesian
2.2869 4.9981 -2.1313 Ag
-0.0031 2.5319 1.8709 Ag
2.2871 4.5694 3.0132 Ag
-0.0028 2.1032 7.0154 Ag
2.2764 -0.3785 4.1899 Ag
0.0003 -0.5257 5.9955 Te
2.2737 3.4406 0.3306 Te
2.2837 7.6270 -1.1114 Te
0.0104 3.6607 4.5535 Te
2.2763 0.0022 0.0003 Sr
```

D(E_F), states/eV/cell: 5.618
E_tot, eV per atom: -3.189


# SrThAgTe4

Crystalline SrThAgTe4 at its relaxed geometry (PBE, Alexandria via LeMat-Bulk).

POSCAR file:
```
SrThAgTe4
1.0
7.9128 0.0000 0.0016
0.0000 6.4227 0.0000
-3.0789 0.0000 8.9273
Ag Te Th Sr
2 8 2 2
Cartesian
1.1623 4.8170 2.7680 Ag
3.6716 1.6057 6.1609 Ag
1.6799 1.6057 7.9659 Te
3.2571 1.6057 3.4551 Te
-1.9990 6.3594 6.4763 Te
6.8328 0.0633 2.4526 Te
3.1539 4.8170 0.9630 Te
1.5768 4.8170 5.4738 Te
-1.9990 3.2746 6.4763 Te
6.8328 3.1481 2.4526 Te
4.3947 4.8170 3.8844 Th
0.4391 1.6057 5.0445 Th
3.0405 4.8170 8.4238 Sr
1.7933 1.6057 0.5051 Sr
```

D(E_F), states/eV/cell: 3.375
E_tot, eV per atom: -4.491


# Sr4Tm3AgTe8

Crystalline Sr4Tm3AgTe8 at its relaxed geometry (PBE, Alexandria via LeMat-Bulk).

POSCAR file:
```
Sr4Tm3AgTe8
1.0
9.0221 0.0000 0.0000
0.0000 9.0545 0.0172
-4.5110 -4.5071 6.3831
Sr Te Tm Ag
4 8 3 1
Cartesian
-2.2555 -2.2536 3.1915 Sr
2.2555 -2.2536 3.1915 Sr
4.5110 0.0000 0.0000 Sr
0.0000 0.0000 0.0000 Sr
4.5110 4.3981 3.1060 Te
-2.2432 2.1313 6.2794 Te
6.7542 2.4162 0.1209 Te
2.2679 2.4162 0.1209 Te
0.0000 0.1494 3.2943 Te
0.0000 4.3730 3.1077 Te
2.2432 2.1313 6.2794 Te
4.5110 0.1744 3.2926 Te
4.5110 4.5273 0.0086 Tm
2.2555 2.2737 3.2001 Tm
-2.2555 2.2737 3.2001 Tm
0.0000 4.5273 0.0086 Ag
```

D(E_F), states/eV/cell: 4.489
E_tot, eV per atom: -4.356